[1]
Here is CdTc2BMo after structural relaxation from Alexandria. Energies are from GGA-PBE.

Computed properties:
volume: 74.8 Å³ per cell
density of states at the Fermi level: 1.74 states/eV per atom
ρ: 9216 kg/m³
uncorrected energy: -7.1291 eV/atom
total moment: 0.000 μB per atom
calculated formation energy: 702 meV/atom

Lattice parameters (Å, degrees): 4.1807 4.1807 4.2797 90.00 90.00 90.00
Space group P4/mmm (No. 123)
Unique sites:
1 Cd 0.0000 0.0000 0.0000 (multiplicity 1)
2 Tc 0.0000 0.5000 0.5000 (multiplicity 2)
3 B 0.0000 0.0000 0.5000 (multiplicity 1)
4 Mo 0.5000 0.5000 0.0000 (multiplicity 1)

[2]
Here is CdTcBMo2 after structural relaxation from Alexandria. Energies are from GGA-PBE.

Computed properties:
volume: 93.1 Å³ per cell
density of states at the Fermi level: 1.22 states/eV per atom
ρ: 7366 kg/m³
uncorrected energy: -5.3714 eV/atom
total moment: 0.406 μB per atom
calculated formation energy: 2553 meV/atom

Lattice parameters (Å, degrees): 4.9455 4.9455 3.8077 90.00 90.00 90.00
Space group P4/mmm (No. 123)
Unique sites:
1 Cd 0.0000 0.0000 0.0000 (multiplicity 1)
2 Tc 0.5000 0.5000 0.5000 (multiplicity 1)
3 B 0.0000 0.0000 0.5000 (multiplicity 1)
4 Mo 0.0000 0.5000 0.0000 (multiplicity 2)

[3]
Here is Cd2BN after structural relaxation from Alexandria. Energies are from GGA-PBE.

Computed properties:
volume: 274.1 Å³ per cell
density of states at the Fermi level: 0.28 states/eV per atom
energy above the most stable polymorph in this dataset: 0 kJ/mol of formula units
ρ: 6050 kg/m³
uncorrected energy: -2.9459 eV/atom
total moment: 0.000 μB per atom
ΔE_f (raw): 1.2623 eV per atom

Lattice parameters (Å, degrees): 5.7653 5.7653 8.2461 90.00 90.00 90.00
Space group I-42d (No. 122)
Unique sites:
1 Cd 0.2260 0.2500 0.1250 (multiplicity 8)
2 B 0.0000 0.0000 0.5000 (multiplicity 4)
3 N 0.0000 0.0000 0.0000 (multiplicity 4)

[4]
Here is CdBN2 after structural relaxation from Alexandria. Energies are from GGA-PBE.

Computed properties:
volume: 162.2 Å³ per cell
density of states at the Fermi level: 0.53 states/eV per atom
energy above the most stable polymorph in this dataset: 26 kJ/mol of formula units
ρ: 4645 kg/m³
uncorrected energy: -5.8768 eV/atom
total moment: 0.000 μB per atom
ΔE_f (raw): 0.1840 eV per atom

Lattice parameters (Å, degrees): 3.5055 3.5055 15.2410 90.00 90.00 120.00
Space group R-3m (No. 166, hexagonal axes)
Unique sites:
1 Cd 0.0000 0.0000 0.0000 (multiplicity 3)
2 B 0.0000 0.0000 0.5000 (multiplicity 3)
3 N 0.0000 0.0000 0.4121 (multiplicity 6)

[5]
Here is CdBN2 after structural relaxation from Alexandria. Energies are from GGA-PBE.

Computed properties:
volume: 164.4 Å³ per cell
density of states at the Fermi level: 0.67 states/eV per atom
energy above the most stable polymorph in this dataset: 867 kJ/mol of formula units
ρ: 6108 kg/m³
uncorrected energy: -3.6983 eV/atom
total moment: 0.142 μB per atom
ΔE_f (raw): 2.3626 eV per atom

Lattice parameters (Å, degrees): 5.4787 5.4787 5.4787 90.00 90.00 90.00
Space group Fm-3m (No. 225)
Unique sites:
1 Cd 0.0000 0.0000 0.0000 (multiplicity 4)
2 B 0.0000 0.0000 0.5000 (multiplicity 4)
3 N 0.2500 0.2500 0.2500 (multiplicity 8)

[6]
Here is CdBN3 after structural relaxation from Alexandria. Energies are from GGA-PBE.

Computed properties:
volume: 43.4 Å³ per cell
density of states at the Fermi level: 0.63 states/eV per atom
ρ: 6328 kg/m³
uncorrected energy: -4.8761 eV/atom
total moment: 0.349 μB per atom
ΔE_f (raw): 1.6376 eV per atom

Lattice parameters (Å, degrees): 3.5132 3.5132 3.5132 90.00 90.00 90.00
Space group Pm-3m (No. 221)
Unique sites:
1 Cd 0.0000 0.0000 0.0000 (multiplicity 1)
2 B 0.5000 0.5000 0.5000 (multiplicity 1)
3 N 0.0000 0.5000 0.5000 (multiplicity 3)

[7]
Here is Cd3BN after structural relaxation from Alexandria. Energies are from GGA-PBE.

Computed properties:
volume: 94.3 Å³ per cell
density of states at the Fermi level: 0.42 states/eV per atom
energy above the most stable polymorph in this dataset: 0 kJ/mol of formula units
ρ: 6378 kg/m³
uncorrected energy: -2.4223 eV/atom
total moment: 0.400 μB per atom
ΔE_f (raw): 1.1273 eV per atom

Lattice parameters (Å, degrees): 4.5511 4.5511 4.5511 90.00 90.00 90.00
Space group Pm-3m (No. 221)
Unique sites:
1 Cd 0.0000 0.0000 0.5000 (multiplicity 3)
2 B 0.0000 0.0000 0.0000 (multiplicity 1)
3 N 0.5000 0.5000 0.5000 (multiplicity 1)

[8]
Here is CdBN2 after structural relaxation from Alexandria. Energies are from GGA-PBE.

Computed properties:
volume: 158.0 Å³ per cell
density of states at the Fermi level: 0.26 states/eV per atom
energy above the most stable polymorph in this dataset: 0 kJ/mol of formula units
ρ: 6357 kg/m³
uncorrected energy: -5.9451 eV/atom
total moment: 0.241 μB per atom
ΔE_f (raw): 0.1158 eV per atom

Lattice parameters (Å, degrees): 4.6352 4.6352 7.3552 90.00 90.00 90.00
Space group I-42d (No. 122)
Unique sites:
1 Cd 0.0000 0.0000 0.0000 (multiplicity 4)
2 B 0.0000 0.0000 0.5000 (multiplicity 4)
3 N 0.1256 0.2500 0.6250 (multiplicity 8)